ThScMnRu | Alexandria | PBE | optimized geometry; crystal system = cubic; final energy = -32.9 eV for the cell shown; SG = No. 216
1.0
0.0000 3.3959 3.3959
3.3959 0.0000 3.3959
3.3959 3.3959 0.0000
Th Sc Mn Ru
1 1 1 1
Direct
0.0000 0.0000 0.0000
0.5000 0.5000 0.5000
0.2500 0.2500 0.2500
0.7500 0.7500 0.7500